First-principles (PBE+U) data for an optimized crystal structure of LuNiO3, as listed in Alexandria.

Summary:
- final energy (eV/atom) = -6.61
- V (Å³ per cell) = 209.8

```
20
Lattice="5.678 0.000 0.000 0.000 7.229 0.000 0.000 0.000 5.111" Properties=species:S:1:pos:R:3 pbc="T T T"
Lu 0.507 1.807 0.129
Lu 2.332 5.422 2.684
Lu 3.346 1.807 2.426
Lu 5.171 5.422 4.982
Ni 0.000 0.000 2.555
Ni 0.000 3.614 2.555
Ni 2.839 0.000 0.000
Ni 2.839 3.614 0.000
O 0.233 5.422 1.933
O 1.019 4.023 4.117
O 1.019 6.821 4.117
O 1.820 0.408 1.562
O 1.820 3.206 1.562
O 2.606 1.807 4.488
O 3.072 5.422 0.623
O 3.858 4.023 3.549
O 3.858 6.821 3.549
O 4.659 0.408 0.994
O 4.659 3.206 0.994
O 5.445 1.807 3.178
```